(1)
Entry from the Alexandria database: a relaxed LiLa2InS5 crystal (PBE).

Unit cell a=4.0570 b=8.8501 c=11.5317 alpha=90.00 beta=90.00 gamma=103.25
Element x y z (fractional)
Li  0.7754  0.5509  0.5145
Li  0.2246  0.4491  0.0145
La  0.8756  0.7513  0.8033
La  0.1269  0.2539  0.6820
La  0.1244  0.2487  0.3033
La  0.8731  0.7461  0.1820
In  0.5810  0.1620  0.9738
In  0.4190  0.8380  0.4738
S  0.3609  0.7219  0.9975
S  0.6980  0.3960  0.8428
S  0.5077  0.0155  0.7818
S  0.3021  0.6042  0.6541
S  0.9655  0.9311  0.5741
S  0.6391  0.2781  0.4975
S  0.3020  0.6040  0.3428
S  0.4923  0.9845  0.2818
S  0.6979  0.3958  0.1541
S  0.0345  0.0689  0.0741

## Properties
* space group: No. 36
* formation energy from raw total energies: -1598 meV per atom

---

(2)
Entry from the Alexandria database: a relaxed AgHRuPt2 crystal (PBE).

Unit cell a=3.9216 b=4.2839 c=3.9216 alpha=90.00 beta=90.00 gamma=90.00
Element x y z (fractional)
Ru  0.5000  0.5000  0.5000
Ag  0.0000  0.5000  0.0000
Pt  0.0000  0.0000  0.5000
Pt  0.5000  0.0000  0.0000
H  0.0000  0.0000  0.0000

## Properties
* total DFT energy (no corrections): -0.1891 Ha/atom
* space group: No. 123

---

(3)
Entry from the Alexandria database: a relaxed Pr4SmY2Ho2 crystal (PBE).

Unit cell a=5.1315 b=8.1264 c=8.1093 alpha=107.32 beta=90.00 gamma=108.41
Element x y z (fractional)
Pr  0.7774  0.5549  0.6694
Pr  0.2226  0.4451  0.3306
Pr  0.5543  0.1086  0.3300
Pr  0.4457  0.8914  0.6700
Sm  0.0000  0.0000  0.0000
Y  0.8883  0.7767  0.3305
Y  0.1117  0.2233  0.6695
Ho  0.3320  0.6640  0.0004
Ho  0.6680  0.3360  0.9996

## Properties
* space group: No. 12
* energy relative to the elements: 0.0185 eV/atom